Compound: Sm3Sn13Ir4
Source: Alexandria
Functional: SCAN
Structure: single point on PBEsol structure

Values from the calculation:
SG: Pm-3n, No. 223
Calculated volume (Å³/atom): 22.43
Formation energy from the elements (eV/atom): -0.5629
M_tot (μB/atom): 0.000
E (eV per cell): -1791.9

Cell: 9.6450 9.6450 9.6450 Å, 90.00 90.00 90.00°
With the nearest neighbours (Å) after each atom.
Positions (direct):
Ir  0.2500  0.2500  0.2500  6 Sn 2.65
Ir  0.7500  0.7500  0.2500  6 Sn 2.65
Ir  0.7500  0.2500  0.7500  6 Sn 2.65
Ir  0.7500  0.7500  0.7500  6 Sn 2.65
Ir  0.2500  0.2500  0.7500  6 Sn 2.65
Ir  0.7500  0.2500  0.2500  6 Sn 2.65
Ir  0.2500  0.7500  0.7500  6 Sn 2.65
Ir  0.2500  0.7500  0.2500  6 Sn 2.65
Sn  0.6920  0.1515  0.0000  2 Ir 2.65, 1 Sn 2.92
Sn  0.8080  0.5000  0.6515  2 Ir 2.65, 1 Sn 2.92
Sn  0.0000  0.6920  0.8485  2 Ir 2.65, 1 Sn 2.92
Sn  0.0000  0.3080  0.8485  2 Ir 2.65, 1 Sn 2.92
Sn  0.0000  0.0000  0.0000  12 Sn 3.31
Sn  0.6920  0.8485  0.0000  2 Ir 2.65, 1 Sn 2.92
Sn  0.1515  0.0000  0.3080  2 Ir 2.65, 1 Sn 2.92
Sn  0.0000  0.6920  0.1515  2 Ir 2.65, 1 Sn 2.92
Sn  0.1920  0.5000  0.3485  2 Ir 2.65, 1 Sn 2.92
Sn  0.5000  0.3485  0.1920  2 Ir 2.65, 1 Sn 2.92
Sn  0.5000  0.3485  0.8080  2 Ir 2.65, 1 Sn 2.92
Sn  0.8485  0.0000  0.3080  2 Ir 2.65, 1 Sn 2.92
Sn  0.3080  0.1515  0.0000  2 Ir 2.65, 1 Sn 2.92
Sn  0.5000  0.5000  0.5000  12 Sn 3.31
Sn  0.8485  0.0000  0.6920  2 Ir 2.65, 1 Sn 2.92
Sn  0.3080  0.8485  0.0000  2 Ir 2.65, 1 Sn 2.92
Sn  0.8080  0.5000  0.3485  2 Ir 2.65, 1 Sn 2.92
Sn  0.6515  0.8080  0.5000  2 Ir 2.65, 1 Sn 2.92
Sn  0.1920  0.5000  0.6515  2 Ir 2.65, 1 Sn 2.92
Sn  0.5000  0.6515  0.1920  2 Ir 2.65, 1 Sn 2.92
Sn  0.6515  0.1920  0.5000  2 Ir 2.65, 1 Sn 2.92
Sn  0.5000  0.6515  0.8080  2 Ir 2.65, 1 Sn 2.92
Sn  0.1515  0.0000  0.6920  2 Ir 2.65, 1 Sn 2.92
Sn  0.0000  0.3080  0.1515  2 Ir 2.65, 1 Sn 2.92
Sn  0.3485  0.8080  0.5000  2 Ir 2.65, 1 Sn 2.92
Sn  0.3485  0.1920  0.5000  2 Ir 2.65, 1 Sn 2.92
Sm  0.7500  0.5000  0.0000  12 Sn 3.37-3.41, 4 Ir 3.41
Sm  0.0000  0.2500  0.5000  12 Sn 3.37-3.41, 4 Ir 3.41
Sm  0.5000  0.0000  0.2500  12 Sn 3.37-3.41, 4 Ir 3.41
Sm  0.5000  0.0000  0.7500  12 Sn 3.37-3.41, 4 Ir 3.41
Sm  0.2500  0.5000  0.0000  12 Sn 3.37-3.41, 4 Ir 3.41
Sm  0.0000  0.7500  0.5000  12 Sn 3.37-3.41, 4 Ir 3.41

Compound: TbSmIr2
Source: Alexandria
Functional: SCAN
Structure: single point on PBEsol structure

Values from the calculation:
SG: Fm-3m, No. 225
Calculated volume (Å³/atom): 20.03
Formation energy from the elements (eV/atom): -0.8616
M_tot (μB/atom): 0.001
E (eV per cell): -236.8

Cell: 4.8391 4.8391 4.8391 Å, 60.00 60.00 60.00°
With the nearest neighbours (Å) after each atom.
Positions (direct):
Ir  0.2500  0.2500  0.2500  4 Tb 2.96, 4 Sm 2.96
Ir  0.7500  0.7500  0.7500  4 Tb 2.96, 4 Sm 2.96
Tb  0.0000  0.0000  0.0000  8 Ir 2.96
Sm  0.5000  0.5000  0.5000  8 Ir 2.96